NaTl3Pd4 | GGA-PBE | optimized geometry

abc: 4.7065 4.7062 7.6407
angles: 108.04 107.94 90.00
Atoms (fractional coordinates):
Na 0.5000 0.0000 0.0000
Tl 0.0000 0.5000 0.0000
Tl 0.7467 0.2470 0.4934
Tl 0.2533 0.7530 0.5066
Pd 0.3721 0.3719 0.7442
Pd 0.6279 0.6281 0.2558
Pd 0.1279 0.1277 0.2557
Pd 0.8721 0.8723 0.7443

Computed properties:
- ΔE to the lowest computed polymorph: 0 meV/atom
- Uncorrected energy: -3.793 eV per atom
- Energy of formation: -0.14 eV/atom
- Crystal system: monoclinic

Na2Tl3Pd5 | GGA-PBE | optimized geometry

abc: 5.7979 8.3731 8.3731
angles: 105.98 92.35 92.35
Atoms (fractional coordinates):
Na 0.8932 0.6177 0.1346
Na 0.3932 0.1346 0.6177
Na 0.1068 0.3823 0.8654
Na 0.6068 0.8654 0.3823
Tl 0.6004 0.4986 0.7822
Tl 0.1004 0.7822 0.4986
Tl 0.3996 0.5014 0.2178
Tl 0.8996 0.2178 0.5014
Tl 0.2500 0.0449 0.9551
Tl 0.7500 0.9551 0.0449
Pd 0.6372 0.2710 0.9672
Pd 0.1372 0.9672 0.2710
Pd 0.3628 0.7290 0.0328
Pd 0.8628 0.0328 0.7290
Pd 0.9910 0.7182 0.7957
Pd 0.0090 0.2818 0.2043
Pd 0.7500 0.5285 0.4715
Pd 0.2500 0.4715 0.5285
Pd 0.5090 0.2043 0.2818
Pd 0.4910 0.7957 0.7182

Computed properties:
- Uncorrected energy: -3.743 eV per atom
- Energy of formation: -0.17 eV/atom
- Crystal system: monoclinic

Na3TlPd | GGA-PBE | optimized geometry

abc: 5.6761 5.6761 5.6761
angles: 90.00 90.00 90.00
Atoms (fractional coordinates):
Na 0.0000 0.5000 0.0000
Na 0.0000 0.0000 0.5000
Na 0.5000 0.0000 0.0000
Tl 0.0000 0.0000 0.0000
Pd 0.5000 0.5000 0.5000

Computed properties:
- ΔE to the lowest computed polymorph: 674 meV/atom
- Uncorrected energy: -1.752 eV per atom
- Energy of formation: 0.55 eV/atom
- Crystal system: cubic

Na6Tl2Pd | GGA-PBE | optimized geometry

abc: 5.4107 5.4107 10.7709
angles: 75.45 75.45 60.00
Atoms (fractional coordinates):
Na 0.5814 0.5814 0.2557
Na 0.8075 0.8075 0.5774
Na 0.6922 0.6922 0.9234
Na 0.1925 0.1925 0.4226
Na 0.4186 0.4186 0.7443
Na 0.3078 0.3078 0.0766
Tl 0.9126 0.9126 0.2622
Tl 0.0874 0.0874 0.7378
Pd 0.0000 0.0000 0.0000

Computed properties:
- Uncorrected energy: -2.063 eV per atom
- Energy of formation: -0.08 eV/atom
- Crystal system: trigonal

Na2Tl2Pd5 | GGA-PBE | optimized geometry

abc: 7.2005 5.6847 9.6664
angles: 107.10 111.87 90.00
Atoms (fractional coordinates):
Na 0.1865 0.5146 0.1558
Na 0.8135 0.3588 0.8442
Na 0.4693 0.0146 0.1558
Na 0.5307 0.8588 0.8442
Tl 0.0000 0.9251 0.0000
Tl 0.5000 0.4251 0.0000
Tl 0.3698 0.5657 0.5000
Tl 0.6302 0.0657 0.5000
Pd 0.1667 0.5869 0.8159
Pd 0.8333 0.7710 0.1841
Pd 0.1492 0.0869 0.8159
Pd 0.8508 0.2710 0.1841
Pd 0.1967 0.0658 0.3377
Pd 0.8033 0.7281 0.6623
Pd 0.6410 0.5658 0.3377
Pd 0.3590 0.2281 0.6623
Pd 0.0401 0.8200 0.5000
Pd 0.9599 0.3200 0.5000

Computed properties:
- Uncorrected energy: -3.856 eV per atom
- Energy of formation: -0.15 eV/atom
- Crystal system: orthorhombic

Na2Tl2Pd | GGA-PBE | optimized geometry

abc: 4.6854 4.6854 12.7824
angles: 100.56 100.56 90.00
Atoms (fractional coordinates):
Na 0.8234 0.8234 0.6468
Na 0.5734 0.0734 0.1468
Na 0.9266 0.4266 0.8532
Na 0.1766 0.1766 0.3532
Tl 0.4362 0.9362 0.8725
Tl 0.6862 0.6862 0.3725
Tl 0.3138 0.3138 0.6275
Tl 0.0638 0.5638 0.1275
Pd 0.5000 0.5000 0.0000
Pd 0.2500 0.7500 0.5000

Computed properties:
- ΔE to the lowest computed polymorph: 0 meV/atom
- Uncorrected energy: -2.626 eV per atom
- Energy of formation: -0.11 eV/atom
- Crystal system: tetragonal

Question: Which of these has the highest energy of formation?
Answer: Na3TlPd

Question: What is the formula in the first record?
Answer: NaTl3Pd4